CrNiMo after structural relaxation, computed with PBE-GGA.

```
CrNiMo
1.0
4.008 0.000 0.000
2.004 3.471 0.000
2.004 1.157 3.272
Cr Mo Ni
1 1 1
direct
0.000 0.000 0.000 Cr
0.500 0.500 0.500 Mo
0.750 0.750 0.750 Ni
```

Calculated values
space-group type: F-43m (216)
E_tot: -8.021 eV/atom
crystal system: cubic
excess energy over the best structure of this formula in the dataset: 630 meV per atom
density: 7.537 Mg/m³